(1)
Compound: NaZnHPd2
Source: Alexandria via LeMat-Bulk
Functional: PBE
Structure: optimized geometry

**Distance to the lowest polymorph of the same formula**: 109 meV per atom
**N(E_F)**: 1.03 states/eV/cell
**Magnetization**: 0.00 μB per formula unit

Geometry as CIF:
```
data_NaZnHPd2
_chemical_formula_sum 'Na1 Zn1 H1 Pd2'
_symmetry_space_group_name_H-M 'P 4/m m m'
_symmetry_Int_Tables_number 123
_symmetry_space_group_name_Hall '-P 4 2'
_cell_length_a 4.085
_cell_length_b 4.085
_cell_length_c 3.992
_cell_angle_alpha 90.00
_cell_angle_beta 90.00
_cell_angle_gamma 90.00
loop_
_atom_site_label
_atom_site_type_symbol
_atom_site_fract_x
_atom_site_fract_y
_atom_site_fract_z
_atom_site_occupancy
Na1 Na 0.000 0.000 0.000 1
Zn1 Zn 0.500 0.500 0.000 1
H1 H 0.500 0.500 0.500 1
Pd1 Pd 0.000 0.500 0.500 1
```


(2)
Compound: TaVMo
Source: Alexandria via LeMat-Bulk
Functional: PBE
Structure: optimized geometry

**E_form**: 0.85 eV per atom
**Distance to the lowest polymorph of the same formula**: 937 meV per atom
**N(E_F)**: 8.27 states/eV/cell
**Magnetization**: 0.00 μB per formula unit

Geometry as CIF:
```
data_TaVMo
_chemical_formula_sum 'Ta2 V2 Mo2'
_symmetry_space_group_name_H-M 'I 4 m m'
_symmetry_Int_Tables_number 107
_symmetry_space_group_name_Hall 'I 4 -2'
_cell_length_a 2.649
_cell_length_b 2.649
_cell_length_c 14.924
_cell_angle_alpha 90.00
_cell_angle_beta 90.00
_cell_angle_gamma 90.00
loop_
_atom_site_label
_atom_site_type_symbol
_atom_site_fract_x
_atom_site_fract_y
_atom_site_fract_z
_atom_site_occupancy
Ta1 Ta 0.000 0.000 0.000 1
V1 V 0.000 0.000 0.826 1
Mo1 Mo 0.000 0.000 0.659 1
```


(3)
Compound: ReMoPd
Source: Alexandria via LeMat-Bulk
Functional: PBE
Structure: optimized geometry

**E_form**: 0.04 eV per atom
**Distance to the lowest polymorph of the same formula**: 0 meV per atom
**N(E_F)**: 9.69 states/eV/cell
**Magnetization**: 0.00 μB per formula unit

Geometry as CIF:
```
data_ReMoPd
_chemical_formula_sum 'Re4 Mo4 Pd4'
_symmetry_space_group_name_H-M 'C m c m'
_symmetry_Int_Tables_number 63
_symmetry_space_group_name_Hall '-C 2c 2'
_cell_length_a 2.748
_cell_length_b 14.868
_cell_length_c 4.465
_cell_angle_alpha 90.00
_cell_angle_beta 90.00
_cell_angle_gamma 90.00
loop_
_atom_site_label
_atom_site_type_symbol
_atom_site_fract_x
_atom_site_fract_y
_atom_site_fract_z
_atom_site_occupancy
Re1 Re 0.000 0.220 0.250 1
Mo1 Mo 0.000 0.114 0.750 1
Pd1 Pd 0.000 0.445 0.750 1
```